An optimized crystal structure of Ho2AlPd6. Source: Alexandria via LeMat-Bulk, functional PBE-GGA. Values from VASP.

Structure (Quantum ESPRESSO input):
```
&SYSTEM
  ibrav = 0, nat = 9, ntyp = 3
/
ATOMIC_SPECIES
Pd 106.42 Pd.upf
Ho 164.93 Ho.upf
Al 26.98 Al.upf
CELL_PARAMETERS angstrom
3.657 0.000 -0.140
0.000 7.485 0.000
-1.590 -3.742 6.511
ATOMIC_POSITIONS crystal
Pd 0.165 0.960 0.330
Pd 0.500 0.779 0.000
Pd 0.500 0.221 0.000
Pd 0.165 0.370 0.330
Pd 0.835 0.630 0.670
Ho 0.650 0.651 0.302
Ho 0.350 0.349 0.698
Pd 0.835 0.040 0.670
Al 0.000 0.000 0.000
```

Its crystal system is monoclinic. As for the formation energy from the elements: -0.63 eV per atom.

An optimized crystal structure of LiCd6Hg. Source: Alexandria via LeMat-Bulk, functional PBE-GGA. Values from VASP.

Structure (Quantum ESPRESSO input):
```
&SYSTEM
  ibrav = 0, nat = 8, ntyp = 3
/
ATOMIC_SPECIES
Li 6.94 Li.upf
Cd 112.41 Cd.upf
Hg 200.59 Hg.upf
CELL_PARAMETERS angstrom
-3.510 -3.893 -5.573
4.515 -5.361 -2.951
-0.802 -5.582 -0.892
ATOMIC_POSITIONS crystal
Li 0.500 0.500 0.500
Cd 0.748 0.057 0.653
Cd 0.539 0.254 0.151
Cd 0.461 0.746 0.849
Hg 0.000 0.000 0.000
Cd 0.053 0.462 0.232
Cd 0.947 0.538 0.768
Cd 0.252 0.943 0.347
```

Its crystal system is triclinic. As for the formation energy from the elements: -0.04 eV per atom.

An optimized crystal structure of PmB4Ru4. Source: Alexandria via LeMat-Bulk, functional PBE-GGA. Values from VASP.

Structure (Quantum ESPRESSO input):
```
&SYSTEM
  ibrav = 0, nat = 18, ntyp = 3
/
ATOMIC_SPECIES
B 10.81 B.upf
Ru 101.07 Ru.upf
Pm 145.00 Pm.upf
CELL_PARAMETERS angstrom
4.029 0.000 0.000
0.000 7.524 0.000
0.000 0.000 7.524
ATOMIC_POSITIONS crystal
B 0.111 0.210 0.333
Ru 0.889 0.609 0.855
B 0.389 0.290 0.167
Ru 0.111 0.145 0.609
Ru 0.889 0.391 0.145
B 0.889 0.333 0.790
B 0.889 0.667 0.210
Pm 0.000 0.000 0.000
B 0.611 0.833 0.290
Ru 0.611 0.109 0.355
B 0.389 0.710 0.833
Ru 0.389 0.645 0.109
B 0.111 0.790 0.667
Ru 0.611 0.891 0.645
Ru 0.111 0.855 0.391
Pm 0.500 0.500 0.500
Ru 0.389 0.355 0.891
B 0.611 0.167 0.710
```

Its crystal system is tetragonal. As for the formation energy from the elements: -0.47 eV per atom.

An optimized crystal structure of Ta2InBr. Source: Alexandria via LeMat-Bulk, functional PBE-GGA. Values from VASP.

Structure (Quantum ESPRESSO input):
```
&SYSTEM
  ibrav = 0, nat = 4, ntyp = 3
/
ATOMIC_SPECIES
In 114.82 In.upf
Ta 180.95 Ta.upf
Br 79.90 Br.upf
CELL_PARAMETERS angstrom
-0.501 0.019 -9.550
-2.825 -1.907 -8.935
-3.297 1.137 -8.904
ATOMIC_POSITIONS crystal
In 0.750 0.750 0.750
Ta 0.996 0.996 0.996
Ta 0.504 0.504 0.504
Br 0.250 0.250 0.250
```

Its crystal system is trigonal.

| no. | final energy (eV per atom) |
| --- | --- |
| 1 | -5.52 |
| 2 | -1.01 |
| 3 | -8.09 |
| 4 | -6.65 |